Record 1
FeTeBr2: single point on PBEsol structure, SCAN.

## Properties
The energy is -23.263 eV/atom. The total magnetic moment is 0.875 μB per atom. Its formation energy without anion corrections is 0.31 eV per atom.

Geometry as CIF:
```
data_FeTeBr2
_cell_length_a 3.3419
_cell_length_b 4.6436
_cell_length_c 6.0124
_cell_angle_alpha 90.00
_cell_angle_beta 90.00
_cell_angle_gamma 90.00
_space_group_name_H-M_alt 'P 1'
_space_group_IT_number 1
loop_
_space_group_symop_operation_xyz
'x,y,z'
loop_
_atom_site_label
_atom_site_type_symbol
_atom_site_fract_x
_atom_site_fract_y
_atom_site_fract_z
_atom_site_occupancy
Br1 Br 0.0000 0.0000 0.0000 1
Br2 Br 0.5000 0.0000 0.5000 1
Fe1 Fe 0.5000 0.5000 0.0000 1
Te1 Te 0.0000 0.5000 0.5000 1
```

Record 2
RbHf2Zr: single point on PBEsol structure, SCAN.

## Properties
The energy is -42.913 eV/atom. For the formation energy, the calculation gives 1.284 eV/atom. The total magnetic moment is 0.000 μB per atom.

Geometry as CIF:
```
data_RbHf2Zr
_cell_length_a 5.1622
_cell_length_b 5.1622
_cell_length_c 5.1622
_cell_angle_alpha 60.00
_cell_angle_beta 60.00
_cell_angle_gamma 60.00
_space_group_name_H-M_alt 'P 1'
_space_group_IT_number 1
loop_
_space_group_symop_operation_xyz
'x,y,z'
loop_
_atom_site_label
_atom_site_type_symbol
_atom_site_fract_x
_atom_site_fract_y
_atom_site_fract_z
_atom_site_occupancy
Hf1 Hf 0.2500 0.2500 0.2500 1
Hf2 Hf 0.7500 0.7500 0.7500 1
Rb1 Rb 0.0000 0.0000 0.0000 1
Zr1 Zr 0.5000 0.5000 0.5000 1
```

Record 3
MnBe2PdI: single point on PBEsol structure, SCAN.

## Properties
The energy is -18.689 eV/atom. The total magnetic moment is 0.986 μB per atom. Its formation energy without anion corrections is 0.61 eV per atom.

Geometry as CIF:
```
data_MnBe2PdI
_cell_length_a 4.2255
_cell_length_b 4.2255
_cell_length_c 5.5695
_cell_angle_alpha 90.00
_cell_angle_beta 90.00
_cell_angle_gamma 90.00
_space_group_name_H-M_alt 'P 1'
_space_group_IT_number 1
loop_
_space_group_symop_operation_xyz
'x,y,z'
loop_
_atom_site_label
_atom_site_type_symbol
_atom_site_fract_x
_atom_site_fract_y
_atom_site_fract_z
_atom_site_occupancy
I1 I 0.0000 0.0000 0.5000 1
Be1 Be 0.0000 0.5000 0.0000 1
Be2 Be 0.5000 0.0000 0.0000 1
Mn1 Mn 0.5000 0.5000 0.5000 1
Pd1 Pd 0.0000 0.0000 0.0000 1
```

Record 4
ScTl2Cd: single point on PBEsol structure, SCAN.

## Properties
The energy is -47.447 eV/atom. For the formation energy, the calculation gives -0.105 eV/atom. For the offset from the most stable computed form, the calculation gives 140 meV per atom. The total magnetic moment is 0.000 μB per atom.

Geometry as CIF:
```
data_ScTl2Cd
_cell_length_a 5.0715
_cell_length_b 5.0715
_cell_length_c 5.0715
_cell_angle_alpha 60.00
_cell_angle_beta 60.00
_cell_angle_gamma 60.00
_space_group_name_H-M_alt 'P 1'
_space_group_IT_number 1
loop_
_space_group_symop_operation_xyz
'x,y,z'
loop_
_atom_site_label
_atom_site_type_symbol
_atom_site_fract_x
_atom_site_fract_y
_atom_site_fract_z
_atom_site_occupancy
Sc1 Sc 0.0000 0.0000 0.0000 1
Tl1 Tl 0.2500 0.2500 0.2500 1
Tl2 Tl 0.7500 0.7500 0.7500 1
Cd1 Cd 0.5000 0.5000 0.5000 1
```

Record 5
ScRuS2Cl: single point on PBEsol structure, SCAN.

## Properties
The energy is -15.645 eV/atom. The total magnetic moment is 0.001 μB per atom. Its formation energy without anion corrections is -0.39 eV per atom.

Geometry as CIF:
```
data_ScRuS2Cl
_cell_length_a 4.5688
_cell_length_b 4.5688
_cell_length_c 4.5559
_cell_angle_alpha 90.00
_cell_angle_beta 90.00
_cell_angle_gamma 90.00
_space_group_name_H-M_alt 'P 1'
_space_group_IT_number 1
loop_
_space_group_symop_operation_xyz
'x,y,z'
loop_
_atom_site_label
_atom_site_type_symbol
_atom_site_fract_x
_atom_site_fract_y
_atom_site_fract_z
_atom_site_occupancy
Sc1 Sc 0.5000 0.5000 0.5000 1
Ru1 Ru 0.0000 0.0000 0.0000 1
S1 S 0.0000 0.5000 0.0000 1
S2 S 0.5000 0.0000 0.0000 1
Cl1 Cl 0.0000 0.0000 0.5000 1
```

Record 6
Li2TiFeP3O12: single point on PBEsol structure, SCAN.

## Properties
The energy is -10.213 eV/atom. The total magnetic moment is 0.263 μB per atom. Its formation energy without anion corrections is -2.59 eV per atom.

Geometry as CIF:
```
data_Li2TiFeP3O12
_cell_length_a 8.5888
_cell_length_b 8.6527
_cell_length_c 11.9854
_cell_angle_alpha 90.00
_cell_angle_beta 90.00
_cell_angle_gamma 90.00
_space_group_name_H-M_alt 'P 1'
_space_group_IT_number 1
loop_
_space_group_symop_operation_xyz
'x,y,z'
loop_
_atom_site_label
_atom_site_type_symbol
_atom_site_fract_x
_atom_site_fract_y
_atom_site_fract_z
_atom_site_occupancy
Li1 Li 0.5354 0.2167 0.6832 1
Li2 Li 0.4670 0.7270 0.8169 1
Li3 Li 0.4646 0.7833 0.1832 1
Li4 Li 0.5330 0.2730 0.3169 1
Li5 Li 0.9670 0.7730 0.3169 1
Li6 Li 0.0354 0.2833 0.1832 1
Li7 Li 0.0330 0.2270 0.8169 1
Li8 Li 0.9646 0.7167 0.6832 1
Ti1 Ti 0.4965 0.5377 0.6125 1
Ti2 Ti 0.5035 0.4623 0.1125 1
Ti3 Ti 0.9965 0.9623 0.1125 1
Ti4 Ti 0.0035 0.0377 0.6125 1
Fe1 Fe 0.5018 0.0374 0.8883 1
Fe2 Fe 0.4982 0.9626 0.3883 1
Fe3 Fe 0.0018 0.4626 0.3883 1
Fe4 Fe 0.9982 0.5374 0.8883 1
P1 P 0.2893 0.2554 0.4995 1
P2 P 0.7107 0.7446 0.9995 1
P3 P 0.2107 0.7554 0.4995 1
P4 P 0.7893 0.2446 0.9995 1
P5 P 0.3562 0.3942 0.8522 1
P6 P 0.6489 0.8910 0.6451 1
P7 P 0.6438 0.6058 0.3522 1
P8 P 0.3511 0.1090 0.1451 1
P9 P 0.1489 0.6090 0.1451 1
P10 P 0.8562 0.1058 0.3522 1
P11 P 0.8511 0.3910 0.6451 1
P12 P 0.1438 0.8942 0.8522 1
O1 O 0.5737 0.0080 0.7245 1
O2 O 0.4231 0.5194 0.7726 1
O3 O 0.4263 0.9920 0.2245 1
O4 O 0.5769 0.4806 0.2726 1
O5 O 0.9231 0.9806 0.2726 1
O6 O 0.0737 0.4920 0.2245 1
O7 O 0.0769 0.0194 0.7726 1
O8 O 0.9263 0.5080 0.7245 1
O9 O 0.4225 0.2353 0.8208 1
O10 O 0.5944 0.7242 0.6761 1
O11 O 0.5775 0.7647 0.3208 1
O12 O 0.4056 0.2758 0.1761 1
O13 O 0.0944 0.7758 0.1761 1
O14 O 0.9225 0.2647 0.3208 1
O15 O 0.9056 0.2242 0.6761 1
O16 O 0.0775 0.7353 0.8208 1
O17 O 0.4106 0.4404 0.9718 1
O18 O 0.6034 0.9277 0.5253 1
O19 O 0.5894 0.5596 0.4718 1
O20 O 0.3966 0.0723 0.0253 1
O21 O 0.1034 0.5723 0.0253 1
O22 O 0.9106 0.0596 0.4718 1
O23 O 0.8966 0.4277 0.5253 1
O24 O 0.0894 0.9404 0.9718 1
O25 O 0.3924 0.3410 0.5871 1
O26 O 0.5986 0.8321 0.9230 1
O27 O 0.6076 0.6590 0.0871 1
O28 O 0.4014 0.1679 0.4230 1
O29 O 0.0986 0.6679 0.4230 1
O30 O 0.8924 0.1590 0.0871 1
O31 O 0.9014 0.3321 0.9230 1
O32 O 0.1076 0.8410 0.5871 1
O33 O 0.6713 0.3951 0.6574 1
O34 O 0.3213 0.8917 0.8448 1
O35 O 0.3287 0.6049 0.1574 1
O36 O 0.6787 0.1083 0.3448 1
O37 O 0.8213 0.6083 0.3448 1
O38 O 0.1713 0.1049 0.1574 1
O39 O 0.1787 0.3917 0.8448 1
O40 O 0.8287 0.8951 0.6574 1
O41 O 0.6957 0.1303 0.9311 1
O42 O 0.3158 0.6449 0.5676 1
O43 O 0.3043 0.8697 0.4311 1
O44 O 0.6842 0.3551 0.0676 1
O45 O 0.8158 0.8551 0.0676 1
O46 O 0.1957 0.3697 0.4311 1
O47 O 0.1842 0.1449 0.5676 1
O48 O 0.8043 0.6303 0.9311 1
```

Record 7
Ba2MnAs: single point on PBEsol structure, SCAN.

## Properties
The energy is -29.929 eV/atom. For the formation energy, the calculation gives -0.543 eV/atom. The total magnetic moment is 0.998 μB per atom.

Geometry as CIF:
```
data_Ba2MnAs
_cell_length_a 4.1401
_cell_length_b 4.8618
_cell_length_c 7.0197
_cell_angle_alpha 110.26
_cell_angle_beta 107.15
_cell_angle_gamma 90.00
_space_group_name_H-M_alt 'P 1'
_space_group_IT_number 1
loop_
_space_group_symop_operation_xyz
'x,y,z'
loop_
_atom_site_label
_atom_site_type_symbol
_atom_site_fract_x
_atom_site_fract_y
_atom_site_fract_z
_atom_site_occupancy
As1 As 0.1808 0.6808 0.3617 1
Ba1 Ba 0.9863 0.9863 0.9725 1
Ba2 Ba 0.7674 0.2674 0.5347 1
Mn1 Mn 0.5656 0.5656 0.1311 1
```

Record 8
Ir5W3: single point on PBEsol structure, SCAN.

## Properties
The energy is -70.885 eV/atom. For the formation energy, the calculation gives -0.315 eV/atom. The total magnetic moment is 0.000 μB per atom.

Geometry as CIF:
```
data_Ir5W3
_cell_length_a 3.8794
_cell_length_b 5.4832
_cell_length_c 5.4832
_cell_angle_alpha 90.16
_cell_angle_beta 90.00
_cell_angle_gamma 90.00
_space_group_name_H-M_alt 'P 1'
_space_group_IT_number 1
loop_
_space_group_symop_operation_xyz
'x,y,z'
loop_
_atom_site_label
_atom_site_type_symbol
_atom_site_fract_x
_atom_site_fract_y
_atom_site_fract_z
_atom_site_occupancy
Ir1 Ir 0.0000 0.0000 0.0000 1
Ir2 Ir 0.0000 0.0000 0.5000 1
Ir3 Ir 0.0000 0.5000 0.0000 1
Ir4 Ir 0.5000 0.7471 0.2529 1
Ir5 Ir 0.5000 0.2529 0.7471 1
W1 W 0.0000 0.5000 0.5000 1
W2 W 0.5000 0.2486 0.2486 1
W3 W 0.5000 0.7514 0.7514 1
```

- Look up the energy of the third one.
  -18.689 eV/atom

- What is the formula in the seventh record?
  Ba2MnAs